[1]
This record from the Open Quantum Materials Database describes LuTeAuO after structural relaxation. The functional is GGA-PBE. Values from VASP.

Results
Space-group type = P4/nmm, No. 129

Geometry as Quantum ESPRESSO input:
```
&SYSTEM
  ibrav = 0, nat = 16, ntyp = 4
/
ATOMIC_SPECIES
O 16.00 O.upf
Te 127.60 Te.upf
Au 196.97 Au.upf
Lu 174.97 Lu.upf
CELL_PARAMETERS angstrom
5.589 0.000 0.000
0.000 5.589 0.000
0.000 0.000 10.070
ATOMIC_POSITIONS angstrom
O 0.000 0.000 0.000
Te 4.192 1.398 2.826
Au 2.794 0.000 5.035
Te 1.397 4.191 2.826
Te 1.397 1.398 7.244
O 0.000 2.794 0.000
O 2.794 0.000 0.000
Au 0.000 0.000 5.035
Te 4.192 4.191 7.244
Au 0.000 2.794 5.035
Lu 1.397 4.192 9.046
Lu 1.397 1.397 1.024
O 2.794 2.794 0.000
Au 2.794 2.794 5.035
Lu 4.192 4.192 1.024
Lu 4.192 1.397 9.046
```



[2]
This record from the Open Quantum Materials Database describes Nd2DySb3 after structural relaxation. The functional is GGA-PBE. Values from VASP.

Results
Space-group type = P-3m1, No. 164

Geometry as Quantum ESPRESSO input:
```
&SYSTEM
  ibrav = 0, nat = 6, ntyp = 3
/
ATOMIC_SPECIES
Nd 144.24 Nd.upf
Sb 121.76 Sb.upf
Dy 162.50 Dy.upf
CELL_PARAMETERS angstrom
-2.477 0.600 -3.674
3.061 -3.257 0.126
-7.539 -6.932 3.951
ATOMIC_POSITIONS angstrom
Nd -1.918 -1.870 -1.733
Sb -1.355 -4.334 0.206
Nd -5.037 -7.720 2.135
Sb -5.600 -5.255 0.197
Sb 0.000 0.000 0.000
Dy -3.769 -3.466 1.975
```



[3]
This record from the Open Quantum Materials Database describes HgTePO after structural relaxation. The functional is GGA-PBE. Values from VASP.

Results
Space-group type = P4/nmm, No. 129

Geometry as Quantum ESPRESSO input:
```
&SYSTEM
  ibrav = 0, nat = 8, ntyp = 4
/
ATOMIC_SPECIES
P 30.97 P.upf
O 16.00 O.upf
Hg 200.59 Hg.upf
Te 127.60 Te.upf
CELL_PARAMETERS angstrom
1.938 3.131 3.141
-4.353 2.003 0.689
-1.381 -5.012 5.848
ATOMIC_POSITIONS angstrom
P -2.327 1.978 5.058
O 0.365 2.849 2.528
Hg -1.969 -3.672 6.739
Te -0.325 0.343 5.452
Te -3.470 -0.221 4.226
O -2.780 2.285 1.302
P -1.469 -1.856 4.621
Hg -1.827 3.793 2.939
```



[4]
This record from the Open Quantum Materials Database describes NaZnFeTc after structural relaxation. The functional is GGA-PBE. Values from VASP.

Results
Space-group type = F-43m, No. 216

Geometry as Quantum ESPRESSO input:
```
&SYSTEM
  ibrav = 0, nat = 4, ntyp = 4
/
ATOMIC_SPECIES
Fe 55.84 Fe.upf
Zn 65.41 Zn.upf
Tc 98.00 Tc.upf
Na 22.99 Na.upf
CELL_PARAMETERS angstrom
0.000 3.012 3.012
3.012 0.000 3.012
3.012 3.012 0.000
ATOMIC_POSITIONS angstrom
Fe 1.506 1.506 1.506
Zn 0.000 0.000 0.000
Tc 3.012 3.012 3.012
Na 4.519 4.519 4.519
```



[5]
This record from the Open Quantum Materials Database describes BaSnAu2 after structural relaxation. The functional is GGA-PBE. Values from VASP.

Results
Space-group type = F-43m, No. 216

Geometry as Quantum ESPRESSO input:
```
&SYSTEM
  ibrav = 0, nat = 4, ntyp = 3
/
ATOMIC_SPECIES
Au 196.97 Au.upf
Ba 137.33 Ba.upf
Sn 118.71 Sn.upf
CELL_PARAMETERS angstrom
-2.780 -4.316 1.282
-4.803 0.493 2.163
-4.304 -1.300 -2.789
ATOMIC_POSITIONS angstrom
Au 0.000 0.000 0.000
Ba -5.944 -2.561 0.328
Au -8.915 -3.842 0.492
Sn -2.972 -1.281 0.164
```



[6]
This record from the Open Quantum Materials Database describes NaFePdSe3 after structural relaxation. The functional is GGA-PBE. Values from VASP.

Results
Space-group type = Pnma, No. 62

Geometry as Quantum ESPRESSO input:
```
&SYSTEM
  ibrav = 0, nat = 24, ntyp = 4
/
ATOMIC_SPECIES
Se 78.96 Se.upf
Pd 106.42 Pd.upf
Fe 55.84 Fe.upf
Na 22.99 Na.upf
CELL_PARAMETERS angstrom
-12.170 3.570 2.156
-0.086 -2.112 3.010
3.277 7.807 5.572
ATOMIC_POSITIONS angstrom
Se -9.671 6.180 5.183
Pd -4.739 4.367 4.052
Se 1.253 6.423 5.666
Se -4.846 1.394 1.963
Se -10.232 2.842 5.072
Se -1.988 5.860 7.426
Fe -9.891 8.211 6.602
Pd 2.831 5.461 7.284
Fe -3.258 7.730 6.454
Fe -5.721 1.535 4.284
Se -3.587 2.390 4.945
Na -6.453 9.545 7.637
Na -1.572 4.893 4.512
Fe 0.912 1.054 4.136
Se -0.679 2.160 2.620
Pd -4.240 4.898 6.687
Se -8.300 7.105 8.118
Pd -11.810 3.804 3.454
Na -2.526 -0.280 3.102
Se -5.392 6.875 5.794
Se -6.991 3.405 3.313
Se 0.692 3.085 5.555
Se -4.133 7.871 8.776
Na -7.407 4.372 6.226
```



Number 1: final energy -91.43 eV for the cell shown. Number 2: final energy -33.51 eV for the cell shown. Number 3: final energy -25.32 eV for the cell shown. Number 4: final energy -18.79 eV for the cell shown. Number 5: final energy -13.42 eV for the cell shown. Number 6: final energy -110.73 eV for the cell shown.